(1)
Material: Y2ErPd4
Method: DFT, GGA-PBE
State: optimized geometry

Summary:
SG	No. 12
E	-6.04	eV per atom
formation enthalpy at 0 K	-574	meV per atom

a = 5.290 Å, b = 5.290 Å, c = 7.769 Å
α = 115.25°, β = 115.25°, γ = 64.12°
Positions (direct):
Y  0.717  0.717  0.326
Y  0.283  0.283  0.674
Er  0.000  0.000  0.000
Pd  0.658  0.658  0.654
Pd  0.342  0.342  0.346
Pd  0.000  0.500  0.000
Pd  0.500  0.000  0.000



(2)
Material: CdNi2Te2
Method: DFT, GGA-PBE
State: optimized geometry

Summary:
SG	No. 139
E	-3.63	eV per atom
energy above the most stable polymorph in this dataset	197	meV/atom

a = 5.086 Å, b = 5.086 Å, c = 5.393 Å
α = 61.87°, β = 61.87°, γ = 90.00°
Positions (direct):
Ni  0.339  0.339  0.322
Ni  0.661  0.661  0.678
Te  0.750  0.250  0.500
Te  0.250  0.750  0.500
Cd  0.000  0.000  0.000



| no. | DOS(E_F) (states/eV/cell) |
| --- | --- |
| 1 | 4.33 |
| 2 | 4.50 |